Compound: Na2YBi2
Source: the Alexandria database
Functional: PBE-GGA
Structure: optimized geometry

Unit cell a=9.1299 b=9.1299 c=3.4167 alpha=90.00 beta=90.00 gamma=90.00
Last column: nearest neighbours and their distance in Å.
Sites, in units of the cell vectors:
1 Na 0.1113 0.3887 0.0000  1 Na 2.87, 2 Bi 3.11
2 Na 0.3887 0.8887 0.0000  1 Na 2.87, 2 Bi 3.11
3 Na 0.6113 0.1113 0.0000  1 Na 2.87, 2 Bi 3.11
4 Na 0.8887 0.6113 0.0000  1 Na 2.87, 2 Bi 3.11
5 Y 0.0000 0.0000 0.0000  2 Y 3.42, 4 Na 3.69, 8 Bi 3.74
6 Y 0.5000 0.5000 0.0000  2 Y 3.42, 4 Na 3.69, 8 Bi 3.74
7 Bi 0.1874 0.6874 0.5000  6 Na 3.11-3.29, 2 Bi 3.42
8 Bi 0.3126 0.1874 0.5000  6 Na 3.11-3.29, 2 Bi 3.42
9 Bi 0.6874 0.8126 0.5000  6 Na 3.11-3.29, 2 Bi 3.42
10 Bi 0.8126 0.3126 0.5000  6 Na 3.11-3.29, 2 Bi 3.42

Output
Energy relative to the lowest polymorph listed for this composition: 31.3 meV/atom
Energy of formation: -6.895 kcal/mol of atoms
Space-group type: P4/mbm, No. 127